1.
Entry from Alexandria via LeMat-Bulk: a crystal of ZnCrAu2 relaxed with PBEsol (SCAN).

Cell: 3.147 3.147 6.273 Å, 90.00 90.00 90.00°
Element x y z (fractional)
Zn 0.000 0.000 0.000
Cr 0.000 0.000 0.500
Au 0.500 0.500 0.245
Au 0.500 0.500 0.755

Values from the calculation:
calculated formation energy	-0.21	eV/atom
SG	P4/mmm, No. 123
DFT total energy	-42.759	eV/atom


2.
Entry from Alexandria via LeMat-Bulk: a crystal of NiRuPt2 relaxed with PBEsol (SCAN).

Cell: 2.697 2.697 7.390 Å, 90.00 90.00 90.00°
Element x y z (fractional)
Ni 0.000 0.000 0.000
Ru 0.000 0.000 0.500
Pt 0.500 0.500 0.243
Pt 0.500 0.500 0.757

Values from the calculation:
calculated formation energy	-0.05	eV/atom
SG	P4/mmm, No. 123
DFT total energy	-47.897	eV/atom


3.
Entry from Alexandria via LeMat-Bulk: a crystal of MgSc2 relaxed with PBEsol (SCAN).

Cell: 8.776 8.776 3.134 Å, 90.00 90.00 120.00°
Element x y z (fractional)
Mg 0.000 0.000 0.000
Mg 0.333 0.667 0.500
Mg 0.667 0.333 0.500
Sc 0.000 0.304 0.500
Sc 0.000 0.636 0.000
Sc 0.304 0.000 0.500
Sc 0.364 0.364 0.000
Sc 0.636 0.000 0.000
Sc 0.696 0.696 0.500

Values from the calculation:
calculated formation energy	0.06	eV/atom
SG	P-62m, No. 189
DFT total energy	-11.085	eV/atom


4.
Entry from Alexandria via LeMat-Bulk: a crystal of AgMo2Pb relaxed with PBEsol (SCAN).

Cell: 3.934 3.934 4.487 Å, 90.00 90.00 90.00°
Element x y z (fractional)
Ag 0.000 0.000 0.000
Mo 0.000 0.500 0.500
Mo 0.500 0.000 0.500
Pb 0.500 0.500 0.000

Values from the calculation:
calculated formation energy	0.74	eV/atom
SG	P4/mmm, No. 123
DFT total energy	-43.493	eV/atom


5.
Entry from Alexandria via LeMat-Bulk: a crystal of Cd2CoAg relaxed with PBEsol (SCAN).

Cell: 4.818 4.818 2.908 Å, 90.00 90.00 104.56°
Element x y z (fractional)
Cd 0.000 0.500 0.000
Cd 0.500 0.000 0.000
Co 0.000 0.000 0.500
Ag 0.500 0.500 0.500

Values from the calculation:
calculated formation energy	0.22	eV/atom
SG	Cmmm, No. 65
DFT total energy	-27.159	eV/atom


6.
Entry from Alexandria via LeMat-Bulk: a crystal of Os3CSe relaxed with PBEsol (SCAN).

Cell: 4.071 4.071 4.071 Å, 90.00 90.00 90.00°
Element x y z (fractional)
Os 0.000 0.000 0.500
Os 0.000 0.500 0.000
Os 0.500 0.000 0.000
C 0.000 0.000 0.000
Se 0.500 0.500 0.500

Values from the calculation:
formation energy (no corrections)	1.108	eV/atom
SG	Pm-3m, No. 221
DFT total energy	-48.056	eV/atom


7.
Entry from Alexandria via LeMat-Bulk: a crystal of Ge2N2O relaxed with PBEsol (SCAN).

Cell: 5.441 5.441 5.441 Å, 147.22 63.80 126.92°
Element x y z (fractional)
Ge 0.175 0.000 0.175
Ge 0.825 0.000 0.825
N 0.401 0.697 0.704
N 0.993 0.697 0.296
O 0.854 0.854 0.000

Values from the calculation:
formation energy (no corrections)	-0.620	eV/atom
SG	Imm2, No. 44
DFT total energy	-13.218	eV/atom


8.
Entry from Alexandria via LeMat-Bulk: a crystal of Ca3Ga2Pt2 relaxed with PBEsol (SCAN).

Cell: 5.715 7.809 13.671 Å, 90.00 90.00 90.00°
Element x y z (fractional)
Ca 0.129 0.243 0.250
Ca 0.129 0.257 0.750
Ca 0.357 0.607 0.598
Ca 0.357 0.607 0.902
Ca 0.357 0.893 0.098
Ca 0.357 0.893 0.402
Ca 0.643 0.107 0.598
Ca 0.643 0.107 0.902
Ca 0.643 0.393 0.098
Ca 0.643 0.393 0.402
Ca 0.871 0.743 0.250
Ca 0.871 0.757 0.750
Ga 0.124 0.250 0.000
Ga 0.124 0.250 0.500
Ga 0.357 0.592 0.250
Ga 0.357 0.908 0.750
Ga 0.643 0.092 0.250
Ga 0.643 0.408 0.750
Ga 0.876 0.750 0.000
Ga 0.876 0.750 0.500
Pt 0.137 0.532 0.093
Pt 0.137 0.532 0.407
Pt 0.137 0.968 0.593
Pt 0.137 0.968 0.907
Pt 0.863 0.032 0.093
Pt 0.863 0.032 0.407
Pt 0.863 0.468 0.593
Pt 0.863 0.468 0.907

Values from the calculation:
calculated formation energy	-1.01	eV/atom
SG	Pbcm, No. 57
DFT total energy	-29.877	eV/atom


9.
Entry from Alexandria via LeMat-Bulk: a crystal of AgRh2Se relaxed with PBEsol (SCAN).

Cell: 2.854 4.527 4.724 Å, 90.00 90.00 90.00°
Element x y z (fractional)
Ag 0.000 0.000 0.000
Rh 0.000 0.500 0.500
Rh 0.500 0.500 0.000
Se 0.500 0.000 0.500

Values from the calculation:
formation energy (no corrections)	0.389	eV/atom
SG	Pmmm, No. 47
DFT total energy	-29.358	eV/atom


10.
Entry from Alexandria via LeMat-Bulk: a crystal of Mg2MnCo relaxed with PBEsol (SCAN).

Cell: 9.053 9.053 9.053 Å, 17.72 17.72 17.72°
Element x y z (fractional)
Mg 0.245 0.245 0.245
Mg 0.755 0.755 0.755
Mn 0.000 0.000 0.000
Co 0.500 0.500 0.500

Values from the calculation:
calculated formation energy	0.18	eV/atom
SG	R-3m, No. 166
DFT total energy	-11.201	eV/atom


11.
Entry from Alexandria via LeMat-Bulk: a crystal of ZrAlPt relaxed with PBEsol (SCAN).

Cell: 7.048 7.048 7.268 Å, 90.00 90.00 120.00°
Element x y z (fractional)
Zr 0.019 0.413 0.250
Zr 0.394 0.981 0.250
Zr 0.413 0.019 0.750
Zr 0.587 0.606 0.250
Zr 0.606 0.587 0.750
Zr 0.981 0.394 0.750
Al 0.000 0.742 0.000
Al 0.000 0.742 0.500
Al 0.258 0.258 0.000
Al 0.258 0.258 0.500
Al 0.742 0.000 0.000
Al 0.742 0.000 0.500
Pt 0.000 0.000 0.250
Pt 0.000 0.000 0.750
Pt 0.333 0.667 0.526
Pt 0.333 0.667 0.974
Pt 0.667 0.333 0.026
Pt 0.667 0.333 0.474

Values from the calculation:
calculated formation energy	-1.33	eV/atom
SG	P-62c, No. 190
DFT total energy	-37.544	eV/atom


12.
Entry from Alexandria via LeMat-Bulk: a crystal of Zn3TeW relaxed with PBEsol (SCAN).

Cell: 5.006 5.006 5.006 Å, 90.00 90.00 90.00°
Element x y z (fractional)
Zn 0.000 0.000 0.500
Zn 0.000 0.500 0.000
Zn 0.500 0.000 0.000
Te 0.000 0.000 0.000
W 0.500 0.500 0.500

Values from the calculation:
formation energy (no corrections)	1.842	eV/atom
SG	Pm-3m, No. 221
DFT total energy	-27.655	eV/atom


13.
Entry from Alexandria via LeMat-Bulk: a crystal of LiY2Cd relaxed with PBEsol (SCAN).

Cell: 6.134 6.134 6.134 Å, 145.93 130.08 61.82°
Element x y z (fractional)
Li 0.000 0.000 0.000
Y 0.268 0.768 0.500
Y 0.548 0.548 0.000
Cd 0.808 0.308 0.500

Values from the calculation:
calculated formation energy	-0.16	eV/atom
SG	Imm2, No. 44
DFT total energy	-22.280	eV/atom


14.
Entry from Alexandria via LeMat-Bulk: a crystal of Sb2S3O12 relaxed with PBEsol (SCAN).

Cell: 8.707 8.707 8.707 Å, 63.85 63.85 63.85°
Element x y z (fractional)
Sb 0.149 0.149 0.149
Sb 0.351 0.351 0.351
Sb 0.649 0.649 0.649
Sb 0.851 0.851 0.851
S 0.088 0.750 0.412
S 0.250 0.588 0.912
S 0.412 0.088 0.750
S 0.588 0.912 0.250
S 0.750 0.412 0.088
S 0.912 0.250 0.588
O 0.058 0.307 0.564
O 0.064 0.807 0.558
O 0.100 0.763 0.891
O 0.109 0.900 0.237
O 0.193 0.442 0.936
O 0.237 0.109 0.900
O 0.263 0.600 0.391
O 0.307 0.564 0.058
O 0.391 0.263 0.600
O 0.400 0.609 0.737
O 0.436 0.942 0.693
O 0.442 0.936 0.193
O 0.558 0.064 0.807
O 0.564 0.058 0.307
O 0.600 0.391 0.263
O 0.609 0.737 0.400
O 0.693 0.436 0.942
O 0.737 0.400 0.609
O 0.763 0.891 0.100
O 0.807 0.558 0.064
O 0.891 0.100 0.763
O 0.900 0.237 0.109
O 0.936 0.193 0.442
O 0.942 0.693 0.436

Values from the calculation:
formation energy (no corrections)	-1.447	eV/atom
SG	R-3c, No. 167
DFT total energy	-11.928	eV/atom


15.
Entry from Alexandria via LeMat-Bulk: a crystal of InAsCl2 relaxed with PBEsol (SCAN).

Cell: 3.200 3.200 8.274 Å, 90.00 90.00 90.00°
Element x y z (fractional)
In 0.000 0.000 0.000
As 0.000 0.000 0.500
Cl 0.500 0.500 0.250
Cl 0.500 0.500 0.750

Values from the calculation:
formation energy (no corrections)	-0.012	eV/atom
SG	P4/mmm, No. 123
DFT total energy	-17.395	eV/atom


16.
Entry from Alexandria via LeMat-Bulk: a crystal of LiTbW2O8 relaxed with PBEsol (SCAN).

Cell: 4.990 5.781 10.833 Å, 90.00 112.67 90.00°
Element x y z (fractional)
Li 0.000 0.242 0.250
Li 0.000 0.758 0.750
Tb 0.500 0.200 0.750
Tb 0.500 0.800 0.250
W 0.266 0.319 0.018
W 0.266 0.681 0.518
W 0.734 0.319 0.482
W 0.734 0.681 0.982
O 0.142 0.389 0.594
O 0.142 0.611 0.094
O 0.228 0.128 0.140
O 0.228 0.872 0.640
O 0.290 0.121 0.894
O 0.290 0.879 0.394
O 0.355 0.423 0.385
O 0.355 0.577 0.885
O 0.645 0.423 0.115
O 0.645 0.577 0.615
O 0.710 0.121 0.606
O 0.710 0.879 0.106
O 0.772 0.128 0.360
O 0.772 0.872 0.860
O 0.858 0.389 0.906
O 0.858 0.611 0.406

Values from the calculation:
formation energy (no corrections)	-2.711	eV/atom
SG	P2/c, No. 13
DFT total energy	-22.576	eV/atom


17.
Entry from Alexandria via LeMat-Bulk: a crystal of Mg17Al11Sn relaxed with PBEsol (SCAN).

Cell: 9.100 9.100 9.094 Å, 109.38 109.38 109.35°
Element x y z (fractional)
Mg 0.000 0.000 0.000
Mg 0.000 0.679 0.407
Mg 0.001 0.001 0.660
Mg 0.284 0.601 0.605
Mg 0.312 0.712 0.318
Mg 0.314 0.314 0.718
Mg 0.338 0.338 0.348
Mg 0.388 0.680 0.000
Mg 0.395 0.997 0.684
Mg 0.589 0.589 0.288
Mg 0.601 0.284 0.605
Mg 0.648 0.999 0.998
Mg 0.679 0.000 0.407
Mg 0.680 0.388 0.000
Mg 0.712 0.312 0.318
Mg 0.997 0.395 0.684
Mg 0.999 0.648 0.998
Al 0.002 0.190 0.374
Al 0.181 0.814 0.817
Al 0.184 0.366 0.003
Al 0.190 0.002 0.374
Al 0.364 0.997 0.187
Al 0.366 0.184 0.003
Al 0.621 0.621 0.802
Al 0.632 0.820 0.635
Al 0.814 0.181 0.817
Al 0.820 0.632 0.635
Al 0.997 0.364 0.187
Sn 0.803 0.803 0.179

Values from the calculation:
calculated formation energy	-0.03	eV/atom
SG	Cm, No. 8
DFT total energy	-7.121	eV/atom


18.
Entry from Alexandria via LeMat-Bulk: a crystal of RbAlPd3 relaxed with PBEsol (SCAN).

Cell: 4.717 4.717 4.717 Å, 90.00 90.00 90.00°
Element x y z (fractional)
Rb 0.000 0.000 0.000
Al 0.500 0.500 0.500
Pd 0.000 0.500 0.500
Pd 0.500 0.000 0.500
Pd 0.500 0.500 0.000

Values from the calculation:
calculated formation energy	-0.06	eV/atom
SG	Pm-3m, No. 221
DFT total energy	-25.426	eV/atom


19.
Entry from Alexandria via LeMat-Bulk: a crystal of Cu2PAu relaxed with PBEsol (SCAN).

Cell: 4.661 4.661 4.661 Å, 132.74 132.74 69.06°
Element x y z (fractional)
Cu 0.250 0.750 0.500
Cu 0.750 0.250 0.500
P 0.000 0.000 0.000
Au 0.500 0.500 0.000

Values from the calculation:
calculated formation energy	0.16	eV/atom
SG	I4/mmm, No. 139
DFT total energy	-27.331	eV/atom


20.
Entry from Alexandria via LeMat-Bulk: a crystal of KSc2Ir relaxed with PBEsol (SCAN).

Cell: 3.639 4.535 4.920 Å, 90.00 90.00 90.00°
Element x y z (fractional)
K 0.000 0.000 0.000
Sc 0.500 0.000 0.500
Sc 0.500 0.500 0.000
Ir 0.000 0.500 0.500

Values from the calculation:
calculated formation energy	0.34	eV/atom
SG	Pmmm, No. 47
DFT total energy	-26.633	eV/atom